Computed, not measured: a relaxed CoNi2HRu crystal at the PBE level of DFT.

Calculated values
Space-group type: No. 123
Polymorph energy (0 for the lowest one) (eV per atom): 0.0300

Cell and atoms, written as POSCAR:
```
CoNi2HRu
1.0
3.624 0.000 0.000
0.000 3.624 0.000
0.000 0.000 3.749
Co Ni H Ru
1 2 1 1
Direct
0.000 0.000 0.000 Co
0.000 0.500 0.500 Ni
0.500 0.000 0.500 Ni
0.000 0.000 0.500 H
0.500 0.500 0.000 Ru
```

Computed, not measured: a relaxed YIn crystal at the PBE level of DFT.

Calculated values
Space-group type: No. 194
DFT formation energy (meV/atom): 275

Cell and atoms, written as POSCAR:
```
YIn
1.0
5.396 0.000 0.000
-2.698 4.673 0.000
0.000 0.000 6.150
Y In
2 2
Direct
0.333 0.667 0.250 Y
0.667 0.333 0.750 Y
0.333 0.667 0.750 In
0.667 0.333 0.250 In
```

Computed, not measured: a relaxed TmTaTcOs crystal at the PBE level of DFT.

Calculated values
Space-group type: No. 216
DFT formation energy (meV/atom): -280

Cell and atoms, written as POSCAR:
```
TmTaTcOs
1.0
0.000 3.259 3.259
3.259 0.000 3.259
3.259 3.259 0.000
Tm Ta Tc Os
1 1 1 1
Direct
0.000 0.000 0.000 Tm
0.500 0.500 0.500 Ta
0.750 0.750 0.750 Tc
0.250 0.250 0.250 Os
```

Computed, not measured: a relaxed Be2Cu2Sn crystal at the PBE level of DFT.

Calculated values
Space-group type: No. 139
DFT formation energy (meV/atom): 205
Polymorph energy (0 for the lowest one) (eV per atom): 0.0000

Cell and atoms, written as POSCAR:
```
Be2Cu2Sn
1.0
-1.691 1.691 5.963
1.691 -1.691 5.963
1.691 1.691 -5.963
Be Cu Sn
2 2 1
Direct
0.250 0.750 0.500 Be
0.750 0.250 0.500 Be
0.119 0.119 0.000 Cu
0.881 0.881 0.000 Cu
0.500 0.500 0.000 Sn
```

Computed, not measured: a relaxed Cs3In2SnI9 crystal at the PBE level of DFT.

Calculated values
ΔE_f (raw) (kJ/mol of formula units): -1333
Space-group type: No. 164

Cell and atoms, written as POSCAR:
```
Cs3In2SnI9
1.0
8.775 0.000 0.000
-4.388 7.600 0.000
0.000 0.000 10.743
Cs In Sn I
3 2 1 9
Direct
0.000 0.000 0.000 Cs
0.333 0.667 0.662 Cs
0.667 0.333 0.338 Cs
0.333 0.667 0.161 In
0.667 0.333 0.839 In
0.000 0.000 0.500 Sn
0.000 0.500 0.000 I
0.169 0.337 0.333 I
0.169 0.831 0.333 I
0.337 0.169 0.667 I
0.500 0.000 0.000 I
0.500 0.500 0.000 I
0.663 0.831 0.333 I
0.831 0.169 0.667 I
0.831 0.663 0.667 I
```

Computed, not measured: a relaxed CuMo3H crystal at the PBE level of DFT.

Calculated values
Space-group type: No. 221
Polymorph energy (0 for the lowest one) (eV per atom): 2.2232

Cell and atoms, written as POSCAR:
```
CuMo3H
1.0
4.523 0.000 0.000
0.000 4.523 0.000
0.000 0.000 4.523
Cu Mo H
1 3 1
Direct
0.000 0.000 0.000 Cu
0.000 0.000 0.500 Mo
0.000 0.500 0.000 Mo
0.500 0.000 0.000 Mo
0.500 0.500 0.500 H
```

Computed, not measured: a relaxed SnAsSe2N crystal at the PBE level of DFT.

Calculated values
ΔE_f (raw) (kJ/mol of formula units): 266
Space-group type: No. 123
Polymorph energy (0 for the lowest one) (eV per atom): 0.0000

Cell and atoms, written as POSCAR:
```
SnAsSe2N
1.0
5.257 0.000 0.000
0.000 5.257 0.000
0.000 0.000 3.739
Sn As Se N
1 1 2 1
Direct
0.000 0.000 0.000 Sn
0.500 0.500 0.500 As
0.000 0.500 0.500 Se
0.500 0.000 0.500 Se
0.500 0.500 0.000 N
```

Computed, not measured: a relaxed PmNdHg2 crystal at the PBE level of DFT.

Calculated values
Space-group type: No. 225
DFT formation energy (meV/atom): -474
Polymorph energy (0 for the lowest one) (eV per atom): 0.0001

Cell and atoms, written as POSCAR:
```
PmNdHg2
1.0
0.000 3.826 3.826
3.826 0.000 3.826
3.826 3.826 0.000
Pm Nd Hg
1 1 2
Direct
0.000 0.000 0.000 Pm
0.500 0.500 0.500 Nd
0.250 0.250 0.250 Hg
0.750 0.750 0.750 Hg
```

Computed, not measured: a relaxed Ce3Pr4ThTe8 crystal at the PBE level of DFT.

Calculated values
ΔE_f (raw) (kJ/mol of formula units): -2101
Space-group type: No. 166

Cell and atoms, written as POSCAR:
```
Ce3Pr4ThTe8
1.0
4.490 2.593 7.415
-4.490 2.593 7.415
0.000 -5.185 7.415
Ce Pr Th Te
3 4 1 8
Direct
0.000 0.500 0.500 Ce
0.500 0.000 0.500 Ce
0.500 0.500 0.000 Ce
0.000 0.000 0.500 Pr
0.000 0.500 0.000 Pr
0.500 0.000 0.000 Pr
0.500 0.500 0.500 Pr
0.000 0.000 0.000 Th
0.249 0.249 0.749 Te
0.249 0.749 0.249 Te
0.251 0.251 0.251 Te
0.251 0.751 0.751 Te
0.749 0.249 0.249 Te
0.749 0.749 0.749 Te
0.751 0.251 0.751 Te
0.751 0.751 0.251 Te
```

Computed, not measured: a relaxed GaAgPb2 crystal at the PBE level of DFT.

Calculated values
Space-group type: No. 122
DFT formation energy (meV/atom): 212

Cell and atoms, written as POSCAR:
```
GaAgPb2
1.0
-4.073 4.073 3.203
4.073 -4.073 3.203
4.073 4.073 -3.203
Ga Ag Pb
2 2 4
Direct
0.000 0.000 0.000 Ga
0.750 0.250 0.500 Ga
0.250 0.750 0.500 Ag
0.500 0.500 0.000 Ag
0.131 0.125 0.506 Pb
0.375 0.869 0.994 Pb
0.619 0.625 0.494 Pb
0.875 0.381 0.006 Pb
```

Computed, not measured: a relaxed Na2LiSbRh crystal at the PBE level of DFT.

Calculated values
ΔE_f (raw) (kJ/mol of formula units): 304
Space-group type: No. 123

Cell and atoms, written as POSCAR:
```
Na2LiSbRh
1.0
5.768 0.000 0.000
0.000 5.768 0.000
0.000 0.000 5.038
Na Li Sb Rh
2 1 1 1
Direct
0.000 0.500 0.000 Na
0.500 0.000 0.000 Na
0.000 0.000 0.500 Li
0.000 0.000 0.000 Sb
0.500 0.500 0.500 Rh
```

Computed, not measured: a relaxed La2Ga5Co3 crystal at the PBE level of DFT.

Calculated values
Space-group type: No. 72
DFT formation energy (meV/atom): -464

Cell and atoms, written as POSCAR:
```
La2Ga5Co3
1.0
-5.018 6.279 2.828
5.018 -6.279 2.828
5.018 6.279 -2.828
La Ga Co
4 10 6
Direct
0.140 0.222 0.362 La
0.360 0.722 0.082 La
0.640 0.278 0.918 La
0.860 0.778 0.638 La
0.041 0.750 0.291 Ga
0.087 0.667 0.754 Ga
0.250 0.250 0.000 Ga
0.413 0.167 0.579 Ga
0.459 0.750 0.709 Ga
0.541 0.250 0.291 Ga
0.587 0.833 0.421 Ga
0.750 0.750 0.000 Ga
0.913 0.333 0.246 Ga
0.959 0.250 0.709 Ga
0.145 0.905 0.050 Co
0.250 0.750 0.500 Co
0.355 0.405 0.759 Co
0.645 0.595 0.241 Co
0.750 0.250 0.500 Co
0.855 0.095 0.950 Co
```

Computed, not measured: a relaxed Ac3Ni7Ge4 crystal at the PBE level of DFT.

Calculated values
Space-group type: No. 12
DFT formation energy (meV/atom): -458

Cell and atoms, written as POSCAR:
```
Ac3Ni7Ge4
1.0
7.691 -2.061 0.000
7.691 2.061 0.000
-6.256 0.000 8.131
Ac Ni Ge
3 7 4
Direct
0.000 0.000 0.000 Ac
0.315 0.315 0.318 Ac
0.685 0.685 0.682 Ac
0.000 0.000 0.500 Ni
0.120 0.120 0.841 Ni
0.301 0.301 0.599 Ni
0.500 0.500 0.270 Ni
0.500 0.500 0.730 Ni
0.699 0.699 0.401 Ni
0.880 0.880 0.159 Ni
0.102 0.102 0.384 Ge
0.324 0.324 0.999 Ge
0.676 0.676 0.001 Ge
0.898 0.898 0.616 Ge
```

Computed, not measured: a relaxed NaMg6BO7 crystal at the PBE level of DFT.

Calculated values
ΔE_f (raw) (kJ/mol of formula units): -2813
Space-group type: No. 99
Polymorph energy (0 for the lowest one) (eV per atom): 0.1062

Cell and atoms, written as POSCAR:
```
NaMg6BO7
1.0
4.264 0.000 0.000
0.000 4.264 0.000
0.000 0.000 8.550
Na Mg B O
1 6 1 7
Direct
0.000 0.000 0.000 Na
0.000 0.000 0.502 Mg
0.000 0.500 0.229 Mg
0.000 0.500 0.765 Mg
0.500 0.000 0.229 Mg
0.500 0.000 0.765 Mg
0.500 0.500 0.491 Mg
0.500 0.500 0.976 B
0.000 0.000 0.265 O
0.000 0.000 0.738 O
0.000 0.500 0.508 O
0.000 0.500 0.999 O
0.500 0.000 0.508 O
0.500 0.000 0.999 O
0.500 0.500 0.809 O
```

Computed, not measured: a relaxed Tb3CeTl2 crystal at the PBE level of DFT.

Calculated values
Space-group type: No. 65
DFT formation energy (meV/atom): -196

Cell and atoms, written as POSCAR:
```
Tb3CeTl2
1.0
2.711 -8.514 0.000
2.711 8.514 0.000
0.000 0.000 3.670
Tb Ce Tl
3 1 2
Direct
0.000 0.000 0.000 Tb
0.325 0.675 0.000 Tb
0.675 0.325 0.000 Tb
0.500 0.500 0.500 Ce
0.155 0.845 0.500 Tl
0.845 0.155 0.500 Tl
```

Computed, not measured: a relaxed ReNi3Rh crystal at the PBE level of DFT.

Calculated values
Space-group type: No. 221
DFT formation energy (meV/atom): 1527
Polymorph energy (0 for the lowest one) (eV per atom): 1.5202

Cell and atoms, written as POSCAR:
```
ReNi3Rh
1.0
4.410 0.000 0.000
0.000 4.410 0.000
0.000 0.000 4.410
Re Ni Rh
1 3 1
Direct
0.000 0.000 0.000 Re
0.000 0.000 0.500 Ni
0.000 0.500 0.000 Ni
0.500 0.000 0.000 Ni
0.500 0.500 0.500 Rh
```

Computed, not measured: a relaxed KRbHgS crystal at the PBE level of DFT.

Calculated values
ΔE_f (raw) (kJ/mol of formula units): -266
Space-group type: No. 216

Cell and atoms, written as POSCAR:
```
KRbHgS
1.0
0.000 4.022 4.022
4.022 0.000 4.022
4.022 4.022 0.000
K Rb Hg S
1 1 1 1
Direct
0.000 0.000 0.000 K
0.500 0.500 0.500 Rb
0.250 0.250 0.250 Hg
0.750 0.750 0.750 S
```

Computed, not measured: a relaxed PrSi2Ir3 crystal at the PBE level of DFT.

Calculated values
ΔE_f (raw) (kJ/mol of formula units): -538
Space-group type: No. 74

Cell and atoms, written as POSCAR:
```
PrSi2Ir3
1.0
-3.633 4.909 2.822
3.633 -4.909 2.822
3.633 4.909 -2.822
Pr Si Ir
2 4 6
Direct
0.474 0.224 0.250 Pr
0.526 0.776 0.750 Pr
0.124 0.703 0.421 Si
0.217 0.297 0.921 Si
0.783 0.703 0.079 Si
0.876 0.297 0.579 Si
0.000 0.000 0.500 Ir
0.000 0.221 0.221 Ir
0.000 0.500 0.000 Ir
0.000 0.779 0.779 Ir
0.500 0.221 0.721 Ir
0.500 0.779 0.279 Ir
```

Computed, not measured: a relaxed Nd4Dy6Tm crystal at the PBE level of DFT.

Calculated values
Space-group type: No. 121
DFT formation energy (meV/atom): 293
Polymorph energy (0 for the lowest one) (eV per atom): 0.1302

Cell and atoms, written as POSCAR:
```
Nd4Dy6Tm
1.0
-3.327 3.327 8.513
3.327 -3.327 8.513
3.327 3.327 -8.513
Nd Dy Tm
4 6 1
Direct
0.014 0.635 0.000 Nd
0.365 0.365 0.379 Nd
0.635 0.014 0.000 Nd
0.986 0.986 0.621 Nd
0.000 0.500 0.500 Dy
0.198 0.198 0.645 Dy
0.447 0.802 0.000 Dy
0.500 0.000 0.500 Dy
0.553 0.553 0.355 Dy
0.802 0.447 0.000 Dy
0.000 0.000 0.000 Tm
```

Computed, not measured: a relaxed CoTe2Rh crystal at the PBE level of DFT.

Calculated values
ΔE_f (raw) (kJ/mol of formula units): 83
Space-group type: No. 123

Cell and atoms, written as POSCAR:
```
CoTe2Rh
1.0
3.292 0.000 0.000
0.000 3.292 0.000
0.000 0.000 6.719
Co Te Rh
1 2 1
Direct
0.000 0.000 0.000 Co
0.500 0.500 0.244 Te
0.500 0.500 0.756 Te
0.000 0.000 0.500 Rh
```

Computed, not measured: a relaxed Gd2LuZr crystal at the PBE level of DFT.

Calculated values
Space-group type: No. 123
DFT formation energy (meV/atom): 92
Polymorph energy (0 for the lowest one) (eV per atom): 0.0035

Cell and atoms, written as POSCAR:
```
Gd2LuZr
1.0
4.841 0.000 0.000
0.000 4.841 0.000
0.000 0.000 4.862
Gd Lu Zr
2 1 1
Direct
0.000 0.500 0.000 Gd
0.500 0.000 0.000 Gd
0.000 0.000 0.500 Lu
0.500 0.500 0.500 Zr
```

Computed, not measured: a relaxed Cr2CuP crystal at the PBE level of DFT.

Calculated values
Space-group type: No. 119
DFT formation energy (meV/atom): 47

Cell and atoms, written as POSCAR:
```
Cr2CuP
1.0
-1.802 1.802 3.686
1.802 -1.802 3.686
1.802 1.802 -3.686
Cr Cu P
2 1 1
Direct
0.000 0.000 0.000 Cr
0.750 0.250 0.500 Cr
0.250 0.750 0.500 Cu
0.500 0.500 0.000 P
```

Computed, not measured: a relaxed InH3Ir crystal at the PBE level of DFT.

Calculated values
Space-group type: No. 221
Raw total energy (eV per cell): -15.03

Cell and atoms, written as POSCAR:
```
InH3Ir
1.0
3.770 0.000 0.000
0.000 3.770 0.000
0.000 0.000 3.770
In H Ir
1 3 1
Direct
0.000 0.000 0.000 In
0.000 0.000 0.500 H
0.000 0.500 0.000 H
0.500 0.000 0.000 H
0.500 0.500 0.500 Ir
```

Computed, not measured: a relaxed BeAlMo crystal at the PBE level of DFT.

Calculated values
Space-group type: No. 216
DFT formation energy (meV/atom): 225
Polymorph energy (0 for the lowest one) (eV per atom): 0.2934

Cell and atoms, written as POSCAR:
```
BeAlMo
1.0
0.000 2.759 2.759
2.759 0.000 2.759
2.759 2.759 0.000
Be Al Mo
1 1 1
Direct
0.000 0.000 0.000 Be
0.750 0.750 0.750 Al
0.250 0.250 0.250 Mo
```

Computed, not measured: a relaxed ScTiAs2 crystal at the PBE level of DFT.

Calculated values
Space-group type: No. 225
DFT formation energy (meV/atom): -702
Polymorph energy (0 for the lowest one) (eV per atom): 0.4013

Cell and atoms, written as POSCAR:
```
ScTiAs2
1.0
0.000 3.300 3.300
3.300 0.000 3.300
3.300 3.300 0.000
Sc Ti As
1 1 2
Direct
0.000 0.000 0.000 Sc
0.500 0.500 0.500 Ti
0.250 0.250 0.250 As
0.750 0.750 0.750 As
```